First-principles (PBE) data for a geometry-optimized Nd8AlRh2 structure, as listed in Alexandria via LeMat-Bulk.

Unit cell a=8.203 b=8.203 c=5.630 alpha=98.45 beta=98.45 gamma=115.19
Fractional coordinates of all 11 atoms:
Nd: 0.000 0.000 0.000
Nd: 0.060 0.306 0.626
Nd: 0.145 0.630 0.187
Nd: 0.306 0.060 0.626
Nd: 0.470 0.716 0.747
Nd: 0.630 0.145 0.187
Nd: 0.716 0.470 0.747
Nd: 0.776 0.776 0.373
Al: 0.388 0.388 0.187
Rh: 0.095 0.681 0.687
Rh: 0.681 0.095 0.687

Summary:
Calculated formation energy (eV/atom): -0.25
Final energy (eV per atom): -5.3944
SG: Cm (8)
Calculated density (g/cm3): 6.99